# TbZrRu (PBE-GGA, optimized geometry)
# DFT formation energy in meV/atom: -260
# E in eV per atom: -7.74
# Magnetic moment in μB per formula unit: 1.00
data_TbZrRu
_chemical_formula_sum 'Tb1 Zr1 Ru1'
_cell_length_a 3.361
_cell_length_b 3.361
_cell_length_c 6.267
_cell_angle_alpha 105.55
_cell_angle_beta 105.55
_cell_angle_gamma 90.00
_space_group_name_H-M_alt 'P 1'
_space_group_IT_number 1
_space_group_name_Hall 'P 1'
loop_
_atom_site_label
_atom_site_fract_x
_atom_site_fract_y
_atom_site_fract_z
Ru1 0.679 0.679 0.358
Tb1 0.018 0.018 0.036
Zr1 0.303 0.303 0.606